A relaxed Pr2MnTlO5 crystal, computed with GGA+U.

Values from the calculation:
The size of the total moment is 3.99 μB/f.u. The electronic total energy comes out at -64.92 eV per formula unit. The crystal system is tetragonal.

a = 6.8946 Å, b = 6.8946 Å, c = 5.8712 Å
α = 90.00°, β = 90.00°, γ = 90.00°
Last column: nearest neighbours and their distance in Å.
Fractional coordinates of all 18 atoms:
1 Pr 0.1792 0.3208 0.0000  8 O 2.39-2.63
2 Pr 0.3208 0.8208 0.0000  8 O 2.39-2.63
3 Pr 0.6792 0.1792 0.0000  8 O 2.39-2.63
4 Pr 0.8208 0.6792 0.0000  8 O 2.39-2.63
5 Mn 0.0000 0.5000 0.5000  4 O 1.92
6 Mn 0.5000 0.0000 0.5000  4 O 1.92
7 Tl 0.0000 0.0000 0.5000  10 O 2.94-3.06
8 Tl 0.5000 0.5000 0.5000  10 O 2.94-3.06
9 O 0.0000 0.0000 0.0000  4 Pr 2.53
10 O 0.1305 0.6305 0.2558  1 Mn 1.92
11 O 0.1305 0.6305 0.7442  1 Mn 1.92
12 O 0.3695 0.1305 0.2558  1 Mn 1.92
13 O 0.3695 0.1305 0.7442  1 Mn 1.92
14 O 0.5000 0.5000 0.0000  4 Pr 2.53
15 O 0.6305 0.8695 0.2558  1 Mn 1.92
16 O 0.6305 0.8695 0.7442  1 Mn 1.92
17 O 0.8695 0.3695 0.2558  1 Mn 1.92
18 O 0.8695 0.3695 0.7442  1 Mn 1.92